No. 1
First-principles (PBE) data for crystalline CoNi at its relaxed geometry, as listed in Alexandria.

Summary:
The value obtained for the density of states at the Fermi level is 4.7 states/eV per cell. For the volume, the calculation gives 43.5 Å³ per cell. As for the final energy: -6.44 eV per atom. As for the spin magnetization: 4.6 μB/cell.

Unit cell a=2.4796 b=4.0350 c=4.3514 alpha=90.00 beta=90.00 gamma=90.00
Closest atoms and distances in Å follow each position.
Space group Pmmn (No. 59, origin choice 2)
Symmetry-distinct sites (fractional):
Co (0.2500, 0.2500, 0.0855) x2  6 Ni 2.48-2.51, 6 Co 2.48
Ni (0.2500, 0.7500, 0.4158) x2  6 Co 2.48-2.51, 6 Ni 2.48

---

No. 2
First-principles (PBE) data for crystalline Tc2NiCl at its relaxed geometry, as listed in Alexandria.

Summary:
The value obtained for the density of states at the Fermi level is 13.4 states/eV per cell. The raw formation energy comes out at 244 meV per atom. For the excess energy over the best structure of this formula in the dataset, the calculation gives 0 meV per atom. For the volume, the calculation gives 169.6 Å³ per cell. As for the spin magnetization: 0.0 μB/cell.

Unit cell a=2.8376 b=2.8376 c=24.3163 alpha=90.00 beta=90.00 gamma=120.00
Closest atoms and distances in Å follow each position.
Space group R3m (No. 160, hexagonal axes)
Symmetry-distinct sites (fractional):
Tc (0.0000, 0.0000, 0.0000) x3  3 Ni 2.63, 9 Tc 2.64-2.84
Tc (0.0000, 0.0000, 0.2480) x3  3 Cl 2.64, 9 Tc 2.64-2.84
Ni (0.0000, 0.0000, 0.7514) x3  3 Cl 2.51, 3 Tc 2.63
Cl (0.0000, 0.0000, 0.4965) x3  3 Ni 2.51, 3 Tc 2.64